The following is a DFT calculation (PBE-GGA) of a relaxed structure of LaDy3Y2Te6.

Computed properties:
Uncorrected formation energy in eV/atom: -1.341

a b c (Å): 19.1588 4.3782 8.8366
angles (deg): 90.00 103.32 90.00
Space group C2/m (No. 12)
Inequivalent atoms, fractional coordinates:
La  0.0000  0.0000  0.0000
Dy  0.0000  0.0000  0.5000
Dy  0.1620  0.5000  0.8321
Y  0.1654  0.5000  0.3311
Te  0.0015  0.5000  0.2622
Te  0.1673  0.0000  0.5841
Te  0.1729  0.0000  0.0856

***

The following is a DFT calculation (PBE-GGA) of a relaxed structure of La5Dy4Th.

Computed properties:
Formation energy in kcal/mol of atoms: 1.84

a b c (Å): 18.2243 3.5499 11.1749
angles (deg): 90.00 106.40 90.00
Space group C2/m (No. 12)
Inequivalent atoms, fractional coordinates:
La  0.0000  0.0000  0.0000
La  0.1026  0.5000  0.7792
La  0.2033  0.5000  0.0998
Dy  0.0943  0.5000  0.3184
Dy  0.1956  0.0000  0.5801
Th  0.0000  0.0000  0.5000

***

The following is a DFT calculation (PBE-GGA) of a relaxed structure of LaDy10Th4.

Computed properties:
Formation energy in kcal/mol of atoms: 11.78

a b c (Å): 9.5846 9.5846 11.1186
angles (deg): 90.00 90.00 90.00
Space group I4/m (No. 87)
Inequivalent atoms, fractional coordinates:
La  0.0000  0.0000  0.0000
Dy  0.0000  0.5000  0.2500
Dy  0.1234  0.2220  0.1675
Th  0.0486  0.3001  0.5000

***

The following is a DFT calculation (PBE-GGA) of a relaxed structure of La6Dy4Th.

Computed properties:
Formation energy in kcal/mol of atoms: 2.99

a b c (Å): 5.9438 9.8459 26.2547
angles (deg): 90.00 90.00 90.00
Space group Cmcm (No. 63)
Inequivalent atoms, fractional coordinates:
La  0.0000  0.0000  0.0000
La  0.0000  0.0489  0.2500
La  0.0000  0.3035  0.5986
La  0.0000  0.3749  0.1811
Dy  0.0000  0.0400  0.1248
Dy  0.0000  0.3469  0.0444
Th  0.0000  0.2937  0.7500

***

The following is a DFT calculation (PBE-GGA) of a relaxed structure of La2Dy7Th4.

Computed properties:
Formation energy in kcal/mol of atoms: 5.30

a b c (Å): 6.1003 6.1003 13.4082
angles (deg): 90.00 90.00 120.00
Space group P-31m (No. 162)
Inequivalent atoms, fractional coordinates:
La  0.3333  0.6667  0.0000
Dy  0.0000  0.0000  0.0000
Dy  0.0000  0.3630  0.7817
Th  0.0000  0.0000  0.3909
Th  0.3333  0.6667  0.5000

***

The following is a DFT calculation (PBE-GGA) of a relaxed structure of La2Dy9Th.

Computed properties:
Formation energy in kcal/mol of atoms: 0.68

a b c (Å): 5.0631 5.0631 15.1939
angles (deg): 90.00 90.00 90.00
Space group P4/mmm (No. 123)
Inequivalent atoms, fractional coordinates:
La  0.0000  0.0000  0.1676
Dy  0.0000  0.5000  0.0000
Dy  0.0000  0.5000  0.3384
Dy  0.5000  0.5000  0.1679
Dy  0.5000  0.5000  0.5000
Th  0.0000  0.0000  0.5000

***

In the order shown, the computed volume values come out to 30.1; 34.7; 34.0; 34.9; 33.2; 32.5 Å³ per atom.